(1)
## CsVIr3 (PBE)

Data for CsVIr3 after structural relaxation.

Cell and atoms, written as CIF:
```
data_CsVIr3
_chemical_formula_sum 'Cs1 V1 Ir3'
_space_group_name_H-M_alt 'P m -3 m'
_space_group_IT_number 221
_space_group_name_Hall '-P 4 2 3'
_cell_length_a 4.753
_cell_length_b 4.753
_cell_length_c 4.753
_cell_angle_alpha 90.00
_cell_angle_beta 90.00
_cell_angle_gamma 90.00
loop_
_atom_site_label
_atom_site_fract_x
_atom_site_fract_y
_atom_site_fract_z
Cs1 0.000 0.000 0.000
V1 0.500 0.500 0.500
Ir1 0.000 0.500 0.500
```

volume	107	Å³ per cell
relative energy among the computed polymorphs	0	meV per atom
energy of formation from the pure elements	1.22	eV/atom
DOS(E_F)	5.08	states/eV/cell


(2)
## Cs2VIr (PBE)

Data for Cs2VIr after structural relaxation.

Cell and atoms, written as CIF:
```
data_Cs2VIr
_chemical_formula_sum 'Cs8 V4 Ir4'
_space_group_name_H-M_alt 'F m -3 m'
_space_group_IT_number 225
_space_group_name_Hall '-F 4 2 3'
_cell_length_a 8.073
_cell_length_b 8.073
_cell_length_c 8.073
_cell_angle_alpha 90.00
_cell_angle_beta 90.00
_cell_angle_gamma 90.00
loop_
_atom_site_label
_atom_site_fract_x
_atom_site_fract_y
_atom_site_fract_z
Cs1 0.250 0.250 0.250
V1 0.000 0.000 0.000
Ir1 0.000 0.000 0.500
```

volume	526	Å³ per cell
energy of formation from the pure elements	1.68	eV/atom
DOS(E_F)	32.80	states/eV/cell


(3)
## CsVIr3 (PBE)

Data for CsVIr3 after structural relaxation.

Cell and atoms, written as CIF:
```
data_CsVIr3
_chemical_formula_sum 'Cs1 V1 Ir3'
_space_group_name_H-M_alt 'P m -3 m'
_space_group_IT_number 221
_space_group_name_Hall '-P 4 2 3'
_cell_length_a 4.960
_cell_length_b 4.960
_cell_length_c 4.960
_cell_angle_alpha 90.00
_cell_angle_beta 90.00
_cell_angle_gamma 90.00
loop_
_atom_site_label
_atom_site_fract_x
_atom_site_fract_y
_atom_site_fract_z
Cs1 0.000 0.000 0.000
V1 0.500 0.500 0.500
Ir1 0.000 0.000 0.500
```

volume	122	Å³ per cell
relative energy among the computed polymorphs	1914	meV per atom
energy of formation from the pure elements	3.13	eV/atom
DOS(E_F)	10.03	states/eV/cell


Please write out number 1 again, unchanged.
## CsVIr3 (PBE)

Data for CsVIr3 after structural relaxation.

Cell and atoms, written as CIF:
```
data_CsVIr3
_chemical_formula_sum 'Cs1 V1 Ir3'
_space_group_name_H-M_alt 'P m -3 m'
_space_group_IT_number 221
_space_group_name_Hall '-P 4 2 3'
_cell_length_a 4.753
_cell_length_b 4.753
_cell_length_c 4.753
_cell_angle_alpha 90.00
_cell_angle_beta 90.00
_cell_angle_gamma 90.00
loop_
_atom_site_label
_atom_site_fract_x
_atom_site_fract_y
_atom_site_fract_z
Cs1 0.000 0.000 0.000
V1 0.500 0.500 0.500
Ir1 0.000 0.500 0.500
```

volume	107	Å³ per cell
relative energy among the computed polymorphs	0	meV per atom
energy of formation from the pure elements	1.22	eV/atom
DOS(E_F)	5.08	states/eV/cell


What did the first record say?
## CsVIr3 (PBE)

Data for CsVIr3 after structural relaxation.

Cell and atoms, written as CIF:
```
data_CsVIr3
_chemical_formula_sum 'Cs1 V1 Ir3'
_space_group_name_H-M_alt 'P m -3 m'
_space_group_IT_number 221
_space_group_name_Hall '-P 4 2 3'
_cell_length_a 4.753
_cell_length_b 4.753
_cell_length_c 4.753
_cell_angle_alpha 90.00
_cell_angle_beta 90.00
_cell_angle_gamma 90.00
loop_
_atom_site_label
_atom_site_fract_x
_atom_site_fract_y
_atom_site_fract_z
Cs1 0.000 0.000 0.000
V1 0.500 0.500 0.500
Ir1 0.000 0.500 0.500
```

volume	107	Å³ per cell
relative energy among the computed polymorphs	0	meV per atom
energy of formation from the pure elements	1.22	eV/atom
DOS(E_F)	5.08	states/eV/cell